VASP calculation (PBE-GGA) on an optimized crystal structure of LaTb4Ho3S8.

abc: 7.8894 7.8894 19.2893
angles: 90.00 90.00 120.00
Last column: nearest neighbours and their distance in Å.
Space group R-3m (No. 166, hexagonal axes)
Symmetry-distinct sites (fractional):
La  0.0000  0.0000  0.0000 x3  6 S 2.85
Tb  0.0000  0.0000  0.5000 x3  6 S 2.72
Tb  0.0000  0.5000  0.5000 x9  6 S 2.80-2.81
Ho  0.0000  0.5000  0.0000 x9  6 S 2.77
S  0.0000  0.0000  0.2515 x6  3 Ho 2.77, 3 Tb 2.80
S  0.0097  0.5048  0.2491 x18  3 Tb 2.72-2.81, 2 Ho 2.77, 1 La 2.85

E_form (uncorrected)   -2003 meV/atom
DOS at the Fermi energy   9.0 states/eV/f.u.